Entry 1:
PuInBr3 GGA-PBE relaxed; DOS at the Fermi energy = 15.6 states/eV/cell; energy = -5.44 eV/atom; total magnetization = 5.97 μB/cell
1.0
5.807 0.000 0.000
0.000 5.807 0.000
0.000 0.000 5.807
Pu In Br
1 1 3
direct
0.000 0.000 0.000 Pu
0.500 0.500 0.500 In
0.000 0.000 0.500 Br
0.000 0.500 0.000 Br
0.500 0.000 0.000 Br

=====

Entry 2:
PuIn2Br6 GGA-PBE relaxed; DOS at the Fermi energy = 16.3 states/eV/cell; E above lowest polymorph = 11.6 meV per atom; total magnetization = 8.02 μB/cell
1.0
7.244 0.000 0.000
0.000 7.244 0.000
0.000 0.000 13.673
Pu In Br
2 4 12
direct
0.000 0.000 0.000 Pu
0.500 0.500 0.500 Pu
0.000 0.000 0.334 In
0.000 0.000 0.666 In
0.500 0.500 0.166 In
0.500 0.500 0.834 In
0.185 0.185 0.152 Br
0.185 0.185 0.848 Br
0.227 0.227 0.500 Br
0.273 0.727 0.000 Br
0.315 0.685 0.348 Br
0.315 0.685 0.652 Br
0.685 0.315 0.348 Br
0.685 0.315 0.652 Br
0.727 0.273 0.000 Br
0.773 0.773 0.500 Br
0.815 0.815 0.152 Br
0.815 0.815 0.848 Br

=====

Entry 3:
PuInBr2 GGA-PBE relaxed; DOS at the Fermi energy = 11.8 states/eV/cell; energy = -5.61 eV/atom; total magnetization = 6.52 μB/cell
1.0
1.969 1.137 10.412
-1.969 1.137 10.412
0.000 -2.274 10.412
Pu In Br
1 1 2
direct
0.000 0.000 0.000 Pu
0.500 0.500 0.500 In
0.091 0.091 0.091 Br
0.909 0.909 0.909 Br

=====

Entry 4:
Pu2InBr6 GGA-PBE relaxed; DOS at the Fermi energy = 26.6 states/eV/cell; energy = -5.97 eV/atom; total magnetization = 11.00 μB/cell
1.0
7.551 0.000 0.000
-3.775 6.539 0.000
0.000 0.000 7.160
Pu In Br
2 1 6
direct
0.333 0.667 0.000 Pu
0.667 0.333 0.000 Pu
0.000 0.000 0.500 In
0.000 0.366 0.235 Br
0.000 0.634 0.765 Br
0.366 0.000 0.235 Br
0.366 0.366 0.765 Br
0.634 0.000 0.765 Br
0.634 0.634 0.235 Br